[1]
Below is BaScRh2 after structural relaxation, with properties calculated at the PBE level.

Computed properties:
Theoretical density (g cm⁻³): 7.54
Energy (eV per atom): -5.8930
ΔE_f (kJ/mol of atoms): -14.8

a = 6.9912 Å, b = 6.9912 Å, c = 6.9912 Å
α = 90.00°, β = 90.00°, γ = 90.00°
Space group Fm-3m (No. 225)
Unique sites:
Ba1 0.0000 0.0000 0.0000
Sc1 0.0000 0.0000 0.5000
Rh1 0.2500 0.2500 0.2500

[2]
Below is BaScRh2 after structural relaxation, with properties calculated at the PBE level.

Computed properties:
Theoretical density (g cm⁻³): 7.90
Energy (eV per atom): -5.5873
ΔE_f (kJ/mol of atoms): 14.7

a = 6.8847 Å, b = 6.8847 Å, c = 6.8847 Å
α = 90.00°, β = 90.00°, γ = 90.00°
Space group F-43m (No. 216)
Unique sites:
Ba1 0.0000 0.0000 0.0000
Sc1 0.2500 0.2500 0.7500
Rh1 0.0000 0.0000 0.5000
Rh2 0.2500 0.2500 0.2500

[3]
Below is BaSr2ScRh after structural relaxation, with properties calculated at the PBE level.

Computed properties:
Theoretical density (g cm⁻³): 4.02
Energy (eV per atom): -3.9258
ΔE_f (kJ/mol of atoms): -12.7

a = 6.1011 Å, b = 6.1011 Å, c = 5.1099 Å
α = 90.00°, β = 90.00°, γ = 90.00°
Space group P4/mmm (No. 123)
Unique sites:
Ba1 0.0000 0.0000 0.0000
Sr1 0.0000 0.5000 0.5000
Sc1 0.5000 0.5000 0.0000
Rh1 0.5000 0.5000 0.5000

[4]
Below is BaScTeRh2 after structural relaxation, with properties calculated at the PBE level.

Computed properties:
Theoretical density (g cm⁻³): 5.43
Energy (eV per atom): -4.1928
E_form (uncorrected) (kcal/mol of atoms): 23.7

a = 4.9898 Å, b = 4.9898 Å, c = 6.3395 Å
α = 90.00°, β = 90.00°, γ = 90.00°
Space group P4/mmm (No. 123)
Unique sites:
Ba1 0.0000 0.0000 0.0000
Sc1 0.5000 0.5000 0.5000
Te1 0.0000 0.0000 0.5000
Rh1 0.0000 0.5000 0.0000

[5]
Below is Ba2ScVRh after structural relaxation, with properties calculated at the PBE level.

Computed properties:
Theoretical density (g cm⁻³): 4.51
Energy (eV per atom): -4.6029
ΔE_f (kJ/mol of atoms): 70.1

a = 6.2201 Å, b = 6.2201 Å, c = 4.5009 Å
α = 90.00°, β = 90.00°, γ = 90.00°
Space group P4/mmm (No. 123)
Unique sites:
Ba1 0.0000 0.5000 0.0000
Sc1 0.0000 0.0000 0.5000
V1 0.5000 0.5000 0.0000
Rh1 0.5000 0.5000 0.5000

[6]
Below is Ba4RhSe after structural relaxation, with properties calculated at the PBE level.

Computed properties:
Theoretical density (g cm⁻³): 5.32
Energy (eV per atom): -2.6635
E_form (uncorrected) (kcal/mol of atoms): 9.8

a = 9.7016 Å, b = 9.7016 Å, c = 9.7016 Å
α = 90.00°, β = 90.00°, γ = 90.00°
Space group F-43m (No. 216)
Unique sites:
Ba1 0.1249 0.1249 0.1249
Rh1 0.2500 0.2500 0.7500
Se1 0.0000 0.0000 0.5000

[7]
Below is BaRhSe after structural relaxation, with properties calculated at the PBE level.

Computed properties:
Theoretical density (g cm⁻³): 6.57
Energy (eV per atom): -4.7310
E_form (uncorrected) (kcal/mol of atoms): -11.0

a = 6.8575 Å, b = 6.8575 Å, c = 6.8575 Å
α = 90.00°, β = 90.00°, γ = 90.00°
Space group F-43m (No. 216)
Unique sites:
Ba1 0.0000 0.0000 0.0000
Rh1 0.2500 0.2500 0.7500
Se1 0.0000 0.0000 0.5000

[8]
Below is BaRhSe3 after structural relaxation, with properties calculated at the PBE level.

Computed properties:
Theoretical density (g cm⁻³): 3.60
Energy (eV per atom): -2.9120
E_form (uncorrected) (kcal/mol of atoms): 23.8

a = 6.0380 Å, b = 6.0380 Å, c = 6.0380 Å
α = 90.00°, β = 90.00°, γ = 90.00°
Space group Pm-3m (No. 221)
Unique sites:
Ba1 0.0000 0.0000 0.0000
Rh1 0.5000 0.5000 0.5000
Se1 0.0000 0.0000 0.5000